# 1
! CaAc4Pm | Alexandria via LeMat-Bulk | PBE | relaxed; values from VASP
&SYSTEM
  ibrav = 0, nat = 12, ntyp = 3
/
ATOMIC_SPECIES
Ca 40.08 Ca.upf
Ac 227.00 Ac.upf
Pm 145.00 Pm.upf
ATOMIC_POSITIONS angstrom
Ca 0.000 8.106 6.088
Ca 0.000 2.702 3.387
Ac 0.000 0.000 0.000
Ac 2.641 5.081 6.560
Ac 2.641 8.106 9.261
Ac 0.000 5.404 0.000
Ac 2.641 2.702 0.214
Ac 2.641 0.323 6.560
Ac 2.641 10.485 2.914
Ac 2.641 5.728 2.914
Pm 0.000 8.106 2.364
Pm 0.000 2.702 7.110
CELL_PARAMETERS angstrom
5.282 0.000 0.000
0.000 10.809 0.000
0.000 0.000 9.474
! E: -3.668 eV per atom
! Polymorph energy (0 for the lowest one): 0.97 eV per formula unit
! Magnetization: 0.00 Bohr magnetons per cell
! Energy of formation: 0.196 eV/atom
! SG: Pmma (51)

# 2
! Ca2Ac5Pm5 | Alexandria via LeMat-Bulk | PBE | relaxed; values from VASP
&SYSTEM
  ibrav = 0, nat = 12, ntyp = 3
/
ATOMIC_SPECIES
Ca 40.08 Ca.upf
Ac 227.00 Ac.upf
Pm 145.00 Pm.upf
ATOMIC_POSITIONS angstrom
Ca 7.602 5.193 9.048
Ca 2.370 5.775 3.782
Ac 7.882 8.846 7.738
Ac 4.422 7.756 9.054
Ac 5.550 3.213 3.777
Ac 2.090 2.122 5.093
Ac 0.000 0.000 0.000
Pm 4.986 5.484 6.415
Pm 2.902 2.581 1.295
Pm 5.222 8.610 5.310
Pm 4.750 2.358 7.521
Pm 7.071 8.388 11.536
CELL_PARAMETERS angstrom
6.079 0.000 1.299
2.641 9.354 2.514
1.252 1.615 9.018
! E: -3.913 eV per atom
! Magnetization: 0.00 Bohr magnetons per cell
! Energy of formation: 0.112 eV/atom
! SG: C2/m (12)